# 1
# GGA-PBE Zr3ScRu, optimized geometry
data_Zr3ScRu
_cell_length_a 6.590
_cell_length_b 9.747
_cell_length_c 7.078
_cell_angle_alpha 90.00
_cell_angle_beta 90.00
_cell_angle_gamma 90.00
_space_group_name_H-M_alt 'I m m a'
_space_group_IT_number 74
_space_group_name_Hall '-I 2b 2'
loop_
_atom_site_label
_atom_site_fract_x
_atom_site_fract_y
_atom_site_fract_z
Zr1 0.000 0.250 0.045
Zr2 0.250 0.010 0.250
Sc1 0.000 0.250 0.465
Ru1 0.250 0.250 0.750
# formation energy: -14 meV/atom

# 2
# GGA-PBE Zr2ScRu, optimized geometry
data_Zr2ScRu
_cell_length_a 3.330
_cell_length_b 4.882
_cell_length_c 9.987
_cell_angle_alpha 90.00
_cell_angle_beta 90.00
_cell_angle_gamma 90.00
_space_group_name_H-M_alt 'I m m 2'
_space_group_IT_number 44
_space_group_name_Hall 'I 2 -2'
loop_
_atom_site_label
_atom_site_fract_x
_atom_site_fract_y
_atom_site_fract_z
Zr1 0.000 0.000 0.000
Zr2 0.000 0.500 0.216
Sc1 0.000 0.000 0.429
Ru1 0.000 0.500 0.713
# formation energy: -325 meV/atom

# 3
# GGA-PBE ZrScRu, optimized geometry
data_ZrScRu
_cell_length_a 10.451
_cell_length_b 4.552
_cell_length_c 5.766
_cell_angle_alpha 90.00
_cell_angle_beta 123.29
_cell_angle_gamma 90.00
_space_group_name_H-M_alt 'C 1 2/m 1'
_space_group_IT_number 12
_space_group_name_Hall '-C 2y'
loop_
_atom_site_label
_atom_site_fract_x
_atom_site_fract_y
_atom_site_fract_z
Zr1 0.176 0.000 0.252
Sc1 0.033 0.500 0.778
Ru1 0.174 0.000 0.744
# formation energy: -369 meV/atom

# 4
# GGA-PBE Zr4ScRu, optimized geometry
data_Zr4ScRu
_cell_length_a 8.048
_cell_length_b 8.048
_cell_length_c 8.048
_cell_angle_alpha 90.00
_cell_angle_beta 90.00
_cell_angle_gamma 90.00
_space_group_name_H-M_alt 'F -4 3 m'
_space_group_IT_number 216
_space_group_name_Hall 'F -4 2 3'
loop_
_atom_site_label
_atom_site_fract_x
_atom_site_fract_y
_atom_site_fract_z
Zr1 0.125 0.125 0.125
Sc1 0.000 0.000 0.500
Ru1 0.250 0.250 0.750
# formation energy: 402 meV/atom

# 5
# GGA-PBE Zr2ScRu, optimized geometry
data_Zr2ScRu
_cell_length_a 3.306
_cell_length_b 3.306
_cell_length_c 7.484
_cell_angle_alpha 90.00
_cell_angle_beta 90.00
_cell_angle_gamma 90.00
_space_group_name_H-M_alt 'P 4/m m m'
_space_group_IT_number 123
_space_group_name_Hall '-P 4 2'
loop_
_atom_site_label
_atom_site_fract_x
_atom_site_fract_y
_atom_site_fract_z
Zr1 0.000 0.000 0.215
Sc1 0.500 0.500 0.500
Ru1 0.500 0.500 0.000
# formation energy: -216 meV/atom

# 6
# GGA-PBE Zr3Sc2Ru2, optimized geometry
data_Zr3Sc2Ru2
_cell_length_a 11.365
_cell_length_b 3.381
_cell_length_c 8.490
_cell_angle_alpha 90.00
_cell_angle_beta 116.39
_cell_angle_gamma 90.00
_space_group_name_H-M_alt 'C 1 2/m 1'
_space_group_IT_number 12
_space_group_name_Hall '-C 2y'
loop_
_atom_site_label
_atom_site_fract_x
_atom_site_fract_y
_atom_site_fract_z
Zr1 0.000 0.000 0.000
Zr2 0.115 0.000 0.441
Sc1 0.152 0.500 0.816
Ru1 0.178 0.500 0.241
# formation energy: -336 meV/atom